1.
DFT (PBE) results for a geometry-optimized SrTlTc2 structure.

Total DFT energy (no corrections) (Ha/atom): -0.1973
V (Å³/atom): 20.40
Offset from the most stable computed form (eV per formula unit): 2.18
D(E_F) (states/eV/f.u.): 3.3
Density (Mg/m³): 9.93

Lattice parameters (Å, degrees): 6.8848 6.8848 6.8848 90.00 90.00 90.00
Last column: nearest neighbours and their distance in Å.
Space group F-43m (No. 216)
Unique sites:
Sr: 0.0000 0.0000 0.0000 [4 per cell]  4 Tl 2.98, 4 Tc 2.98
Tl: 0.2500 0.2500 0.2500 [4 per cell]  4 Tc 2.98, 4 Sr 2.98
Tc: 0.0000 0.0000 0.5000 [4 per cell]  4 Tc 2.98, 4 Tl 2.98
Tc: 0.2500 0.2500 0.7500 [4 per cell]  4 Tc 2.98, 4 Sr 2.98


2.
DFT (PBE) results for a geometry-optimized SrTlTc2 structure.

Total DFT energy (no corrections) (Ha/atom): -0.1910
V (Å³/atom): 21.32
Offset from the most stable computed form (eV per formula unit): 2.87
D(E_F) (states/eV/f.u.): 3.4
Density (Mg/m³): 9.50

Lattice parameters (Å, degrees): 4.4893 4.4893 4.2320 90.00 90.00 90.00
Last column: nearest neighbours and their distance in Å.
Space group P4/mmm (No. 123)
Unique sites:
Sr: 0.0000 0.0000 0.0000 [1 per cell]  8 Tc 3.08, 4 Tl 3.17
Tl: 0.5000 0.5000 0.0000 [1 per cell]  8 Tc 3.08, 4 Sr 3.17
Tc: 0.0000 0.5000 0.5000 [2 per cell]  4 Tl 3.08, 4 Sr 3.08, 4 Tc 3.17


3.
DFT (PBE) results for a geometry-optimized SrTl3Tc structure.

Total DFT energy (no corrections) (Ha/atom): -0.0851
V (Å³/atom): 44.42
Offset from the most stable computed form (eV per formula unit): 6.80
D(E_F) (states/eV/f.u.): 6.6
Density (Mg/m³): 5.97

Lattice parameters (Å, degrees): 6.0561 6.0561 6.0561 90.00 90.00 90.00
Last column: nearest neighbours and their distance in Å.
Space group Pm-3m (No. 221)
Unique sites:
Sr: 0.0000 0.0000 0.0000 [1 per cell]  6 Tl 3.03
Tl: 0.0000 0.0000 0.5000 [3 per cell]  2 Sr 3.03
Tc: 0.5000 0.5000 0.5000 [1 per cell]  12 Tl 4.28


4.
DFT (PBE) results for a geometry-optimized SrTlTc2 structure.

Total DFT energy (no corrections) (Ha/atom): -0.1876
V (Å³/atom): 20.45
Offset from the most stable computed form (eV per formula unit): 3.25
D(E_F) (states/eV/f.u.): 5.1
Density (Mg/m³): 9.90

Lattice parameters (Å, degrees): 3.5544 4.7877 9.6158 90.00 90.00 90.00
Last column: nearest neighbours and their distance in Å.
Space group Cmmm (No. 65)
Unique sites:
Sr: 0.0000 0.0000 0.0000 [2 per cell]  4 Sr 2.98, 4 Tc 3.15
Tl: 0.0000 0.0000 0.5000 [2 per cell]  4 Tc 2.84, 4 Tl 2.98
Tc: 0.0000 0.5000 0.2701 [4 per cell]  2 Tl 2.84, 4 Tc 2.98, 2 Sr 3.15


5.
DFT (PBE) results for a geometry-optimized SrTlTc3 structure.

Total DFT energy (no corrections) (Ha/atom): -0.1863
V (Å³/atom): 27.89
Offset from the most stable computed form (eV per formula unit): 0.00
D(E_F) (states/eV/f.u.): 14.5
Density (Mg/m³): 6.98

Lattice parameters (Å, degrees): 5.1857 5.1857 5.1857 90.00 90.00 90.00
Last column: nearest neighbours and their distance in Å.
Space group Pm-3m (No. 221)
Unique sites:
Sr: 0.0000 0.0000 0.0000 [1 per cell]  12 Tc 3.67
Tl: 0.5000 0.5000 0.5000 [1 per cell]  6 Tc 2.59
Tc: 0.0000 0.5000 0.5000 [3 per cell]  2 Tl 2.59


6.
DFT (PBE) results for a geometry-optimized SrTl2Tc2 structure.

Total DFT energy (no corrections) (Ha/atom): -0.1886
V (Å³/atom): 24.30
Offset from the most stable computed form (eV per formula unit): 0.00
D(E_F) (states/eV/f.u.): 3.4
Density (Mg/m³): 9.46

Lattice parameters (Å, degrees): 3.6191 3.6191 18.5562 90.00 90.00 90.00
Last column: nearest neighbours and their distance in Å.
Space group I4/mmm (No. 139)
Unique sites:
Sr: 0.0000 0.0000 0.0000 [2 per cell]  8 Tl 3.45, 4 Sr 3.62
Tl: 0.0000 0.0000 0.3756 [4 per cell]  4 Tc 2.95
Tc: 0.0000 0.5000 0.2500 [4 per cell]  4 Tc 2.56


7.
DFT (PBE) results for a geometry-optimized SrTlTc2 structure.

Total DFT energy (no corrections) (Ha/atom): -0.1872
V (Å³/atom): 21.09
Offset from the most stable computed form (eV per formula unit): 3.28
D(E_F) (states/eV/f.u.): 5.4
Density (Mg/m³): 9.61

Lattice parameters (Å, degrees): 3.0366 3.0366 9.1494 90.00 90.00 90.00
Last column: nearest neighbours and their distance in Å.
Space group P4/mmm (No. 123)
Unique sites:
Sr: 0.0000 0.0000 0.0000 [1 per cell]  4 Sr 3.04, 8 Tc 3.33
Tl: 0.0000 0.0000 0.5000 [1 per cell]  8 Tc 2.95, 4 Tl 3.04
Tc: 0.5000 0.5000 0.2781 [2 per cell]  4 Tl 2.95, 4 Tc 3.04


8.
DFT (PBE) results for a geometry-optimized SrTl2Tc2 structure.

Total DFT energy (no corrections) (Ha/atom): -0.1797
V (Å³/atom): 22.80
Offset from the most stable computed form (eV per formula unit): 1.21
D(E_F) (states/eV/f.u.): 5.0
Density (Mg/m³): 10.09

Lattice parameters (Å, degrees): 8.5784 8.5784 3.0983 90.00 90.00 90.00
Last column: nearest neighbours and their distance in Å.
Space group P4/mbm (No. 127)
Unique sites:
Sr: 0.0000 0.0000 0.0000 [2 per cell]  2 Sr 3.10, 4 Tl 3.13
Tl: 0.1851 0.3149 0.0000 [4 per cell]  6 Tc 2.96-3.08, 2 Tl 3.10, 2 Sr 3.13
Tc: 0.0950 0.5950 0.5000 [4 per cell]  1 Tc 2.31


| no. | E_form (eV per atom) |
| --- | --- |
| 1 | 0.826 |
| 2 | 0.996 |
| 3 | 1.513 |
| 4 | 1.091 |
| 5 | 1.960 |
| 6 | 0.298 |
| 7 | 1.100 |
| 8 | 0.540 |